DFT (PBE) results for K3Ag4Se4 after structural relaxation.

Structure (POSCAR):
```
K3Ag4Se4
1.0
-4.218 4.218 4.218
4.218 -4.218 4.218
4.218 4.218 -4.218
K Ag Se
3 4 4
direct
0.000 0.500 0.500
0.500 0.000 0.500
0.500 0.500 0.000
0.000 0.000 0.732
0.000 0.732 0.000
0.268 0.268 0.268
0.732 0.000 0.000
0.000 0.000 0.369
0.000 0.369 0.000
0.369 0.000 0.000
0.631 0.631 0.631
```

Calculated values
- raw total energy (eV/atom) = -3.152
- energy above the lowest structure with this stoichiometry (meV per atom) = 0
- magnetic moment (μB per cell) = 0.00
- formation energy (no corrections) (kJ/mol of formula units) = -583


DFT (PBE) results for KAgSe2 after structural relaxation.

Structure (POSCAR):
```
KAgSe2
1.0
4.698 0.000 0.000
0.000 4.698 0.000
0.000 0.000 4.310
K Ag Se
1 1 2
direct
0.000 0.000 0.000
0.500 0.500 0.000
0.000 0.500 0.500
0.500 0.000 0.500
```

Calculated values
- raw total energy (eV/atom) = -2.882
- magnetic moment (μB per cell) = 0.00
- formation energy (no corrections) (kJ/mol of formula units) = -59


Number 1 is which compound?
K3Ag4Se4


Repeat the second record exactly.
DFT (PBE) results for KAgSe2 after structural relaxation.

Structure (POSCAR):
```
KAgSe2
1.0
4.698 0.000 0.000
0.000 4.698 0.000
0.000 0.000 4.310
K Ag Se
1 1 2
direct
0.000 0.000 0.000
0.500 0.500 0.000
0.000 0.500 0.500
0.500 0.000 0.500
```

Calculated values
- raw total energy (eV/atom) = -2.882
- magnetic moment (μB per cell) = 0.00
- formation energy (no corrections) (kJ/mol of formula units) = -59